VASP calculation (PBE) on a geometry-optimized CuBC structure.

ΔH_f (0 K), eV per atom: 0.72
Raw total energy, eV/atom: -5.94
DOS(E_F), states/eV/f.u.: 0.0
Total magnetization, μB/f.u.: 0.0

a = 3.864 Å, b = 4.289 Å, c = 4.355 Å
α = 92.51°, β = 112.18°, γ = 107.85°
Space group P-1 (No. 2)
Asymmetric unit:
Cu (0.206, 0.199, 0.395) [2 per cell]
B (0.398, 0.147, 0.925) [2 per cell]
C (0.425, 0.492, 0.127) [2 per cell]